Density functional theory data (PBE-GGA) for a relaxed Dy2NpIn3Te6 crystal.

The space group is C2/m (No. 12) and the conventional cell measures 7.6738, 13.2937 and 8.4921 Å, with angles of 90.00, 107.54 and 90.00 degrees. The asymmetric unit holds Dy at (0.0000, 0.1669, 0.0000), Np at (0.0000, 0.5000, 0.0000), In at (0.0000, 0.0000, 0.5000), In at (0.0000, 0.3348, 0.5000), Te at (0.2352, 0.0000, 0.2190) and Te at (0.2422, 0.3313, 0.2202).

For the total moment, the calculation gives 4.0 μB per formula unit. Its crystal system is monoclinic. The density of states at the Fermi level is 13.5 states/eV per cell. As for the volume: 826.0 Å³ per cell. The uncorrected formation energy comes out at -0.7994 eV/atom. The value obtained for the calculated density is 6.72 Mg/m³. The calculation puts the raw total energy at -117.606 eV for the cell shown.